# 1
Density functional theory data (SCAN) for La2PbS4 at its PBEsol-relaxed geometry.

Cell and atoms, written as CIF:
```
data_La2PbS4
_space_group_name_H-M_alt 'I -4 2 d'
_space_group_IT_number 122
_space_group_name_Hall 'I -4 2bw'
_cell_length_a 8.677
_cell_length_b 8.677
_cell_length_c 8.636
_cell_angle_alpha 90.00
_cell_angle_beta 90.00
_cell_angle_gamma 90.00
loop_
_atom_site_label
_atom_site_type_symbol
_atom_site_fract_x
_atom_site_fract_y
_atom_site_fract_z
La1 La 0.135 0.250 0.125
Pb1 Pb 0.000 0.000 0.500
S1 S 0.076 0.171 0.806
```

Output
- total energy (eV per formula unit) = -214.045
- density of states at the Fermi level (states/eV/atom) = 0.000
- spin magnetization (μB/atom) = 0.000

---

# 2
Density functional theory data (SCAN) for CaCoAsHO5 at its PBEsol-relaxed geometry.

Cell and atoms, written as CIF:
```
data_CaCoAsHO5
_space_group_name_H-M_alt 'P 21 21 21'
_space_group_IT_number 19
_cell_length_a 5.804
_cell_length_b 7.472
_cell_length_c 8.975
_cell_angle_alpha 90.00
_cell_angle_beta 90.00
_cell_angle_gamma 90.00
loop_
_space_group_symop_operation_xyz
'x,y,z'
'-x+1/2,-y,z+1/2'
'x+1/2,-y+1/2,-z'
'-x,y+1/2,-z+1/2'
loop_
_atom_site_label
_atom_site_type_symbol
_atom_site_fract_x
_atom_site_fract_y
_atom_site_fract_z
Ca1 Ca 0.024 0.126 0.325
Co1 Co 0.245 0.257 0.996
As1 As 0.016 0.624 0.822
H1 H 0.017 0.981 0.017
O1 O 0.003 0.099 0.070
O2 O 0.010 0.944 0.556
O3 O 0.093 0.794 0.941
O4 O 0.240 0.153 0.772
O5 O 0.250 0.389 0.205
```

Output
- total energy (eV per formula unit) = -98.631
- spin magnetization (μB/atom) = 0.335

---

# 3
Density functional theory data (SCAN) for TaZn2Ru at its PBEsol-relaxed geometry.

Cell and atoms, written as CIF:
```
data_TaZn2Ru
_space_group_name_H-M_alt 'C 1 2/m 1'
_space_group_IT_number 12
_cell_length_a 9.213
_cell_length_b 3.050
_cell_length_c 4.326
_cell_angle_alpha 90.00
_cell_angle_beta 105.65
_cell_angle_gamma 90.00
loop_
_space_group_symop_operation_xyz
'x,y,z'
'-x,-y,-z'
'-x,y,-z'
'x,-y,z'
'x+1/2,y+1/2,z'
'-x+1/2,-y+1/2,-z'
'-x+1/2,y+1/2,-z'
'x+1/2,-y+1/2,z'
loop_
_atom_site_label
_atom_site_type_symbol
_atom_site_fract_x
_atom_site_fract_y
_atom_site_fract_z
Ta1 Ta 0.000 0.000 0.000
Zn1 Zn 0.243 0.000 0.736
Ru1 Ru 0.000 0.500 0.500
```

Output
- energy above the most stable polymorph in this dataset (eV per formula unit) = 0.000
- density of states at the Fermi level (states/eV/atom) = 0.608
- spin magnetization (μB/atom) = 0.000

---

# 4
Density functional theory data (SCAN) for MnCoOs at its PBEsol-relaxed geometry.

Cell and atoms, written as CIF:
```
data_MnCoOs
_space_group_name_H-M_alt 'I 4 m m'
_space_group_IT_number 107
_space_group_name_Hall 'I 4 -2'
_cell_length_a 2.565
_cell_length_b 2.565
_cell_length_c 10.513
_cell_angle_alpha 90.00
_cell_angle_beta 90.00
_cell_angle_gamma 90.00
loop_
_atom_site_label
_atom_site_type_symbol
_atom_site_fract_x
_atom_site_fract_y
_atom_site_fract_z
Mn1 Mn 0.000 0.000 0.000
Co1 Co 0.000 0.000 0.346
Os1 Os 0.000 0.000 0.671
```

Output
- energy above the most stable polymorph in this dataset (eV per formula unit) = 0.000
- density of states at the Fermi level (states/eV/atom) = 1.027
- spin magnetization (μB/atom) = 0.538

---

# 5
Density functional theory data (SCAN) for LaTlS3 at its PBEsol-relaxed geometry.

Cell and atoms, written as CIF:
```
data_LaTlS3
_space_group_name_H-M_alt 'P m -3 m'
_space_group_IT_number 221
_space_group_name_Hall '-P 4 2 3'
_cell_length_a 4.988
_cell_length_b 4.988
_cell_length_c 4.988
_cell_angle_alpha 90.00
_cell_angle_beta 90.00
_cell_angle_gamma 90.00
loop_
_atom_site_label
_atom_site_type_symbol
_atom_site_fract_x
_atom_site_fract_y
_atom_site_fract_z
La1 La 0.000 0.000 0.000
Tl1 Tl 0.500 0.500 0.500
S1 S 0.000 0.500 0.500
```

Output
- total energy (eV per formula unit) = -148.051
- density of states at the Fermi level (states/eV/atom) = 0.210
- spin magnetization (μB/atom) = 0.000

---

# 6
Density functional theory data (SCAN) for DySbTe3 at its PBEsol-relaxed geometry.

Cell and atoms, written as CIF:
```
data_DySbTe3
_space_group_name_H-M_alt 'R 3 m'
_space_group_IT_number 160
_space_group_name_Hall 'R 3 -2"'
_cell_length_a 4.2575
_cell_length_b 4.2575
_cell_length_c 30.5187
_cell_angle_alpha 90.00
_cell_angle_beta 90.00
_cell_angle_gamma 120.00
loop_
_atom_site_label
_atom_site_type_symbol
_atom_site_fract_x
_atom_site_fract_y
_atom_site_fract_z
Dy1 Dy 0.0000 0.0000 0.0000
Sb1 Sb 0.0000 0.0000 0.2016
Te1 Te 0.0000 0.0000 0.3882
Te2 Te 0.0000 0.0000 0.6038
Te3 Te 0.0000 0.0000 0.8141
```

Output
- total energy (eV per formula unit) = -200.748
- spin magnetization (μB/atom) = 0.000

---

# 7
Density functional theory data (SCAN) for LaTaIn2 at its PBEsol-relaxed geometry.

Cell and atoms, written as CIF:
```
data_LaTaIn2
_space_group_name_H-M_alt 'P 4/m m m'
_space_group_IT_number 123
_space_group_name_Hall '-P 4 2'
_cell_length_a 4.481
_cell_length_b 4.481
_cell_length_c 4.666
_cell_angle_alpha 90.00
_cell_angle_beta 90.00
_cell_angle_gamma 90.00
loop_
_atom_site_label
_atom_site_type_symbol
_atom_site_fract_x
_atom_site_fract_y
_atom_site_fract_z
La1 La 0.000 0.000 0.000
Ta1 Ta 0.500 0.500 0.000
In1 In 0.000 0.500 0.500
```

Output
- total energy (eV per formula unit) = -175.889
- density of states at the Fermi level (states/eV/atom) = 0.951
- spin magnetization (μB/atom) = 0.000

---

# 8
Density functional theory data (SCAN) for HgGeMo3 at its PBEsol-relaxed geometry.

Cell and atoms, written as CIF:
```
data_HgGeMo3
_space_group_name_H-M_alt 'P m -3 m'
_space_group_IT_number 221
_space_group_name_Hall '-P 4 2 3'
_cell_length_a 4.869
_cell_length_b 4.869
_cell_length_c 4.869
_cell_angle_alpha 90.00
_cell_angle_beta 90.00
_cell_angle_gamma 90.00
loop_
_atom_site_label
_atom_site_type_symbol
_atom_site_fract_x
_atom_site_fract_y
_atom_site_fract_z
Hg1 Hg 0.000 0.000 0.000
Ge1 Ge 0.500 0.500 0.500
Mo1 Mo 0.000 0.000 0.500
```

Output
- total energy (eV per formula unit) = -178.284
- density of states at the Fermi level (states/eV/atom) = 1.770
- spin magnetization (μB/atom) = 0.004

---

Please write out number 2 again, unchanged.
Density functional theory data (SCAN) for CaCoAsHO5 at its PBEsol-relaxed geometry.

Cell and atoms, written as CIF:
```
data_CaCoAsHO5
_space_group_name_H-M_alt 'P 21 21 21'
_space_group_IT_number 19
_cell_length_a 5.804
_cell_length_b 7.472
_cell_length_c 8.975
_cell_angle_alpha 90.00
_cell_angle_beta 90.00
_cell_angle_gamma 90.00
loop_
_space_group_symop_operation_xyz
'x,y,z'
'-x+1/2,-y,z+1/2'
'x+1/2,-y+1/2,-z'
'-x,y+1/2,-z+1/2'
loop_
_atom_site_label
_atom_site_type_symbol
_atom_site_fract_x
_atom_site_fract_y
_atom_site_fract_z
Ca1 Ca 0.024 0.126 0.325
Co1 Co 0.245 0.257 0.996
As1 As 0.016 0.624 0.822
H1 H 0.017 0.981 0.017
O1 O 0.003 0.099 0.070
O2 O 0.010 0.944 0.556
O3 O 0.093 0.794 0.941
O4 O 0.240 0.153 0.772
O5 O 0.250 0.389 0.205
```

Output
- total energy (eV per formula unit) = -98.631
- spin magnetization (μB/atom) = 0.335

---

Question: Which value of spin magnetization does entry 2 give?
Answer: 0.335 μB/atom

---

Question: The highest spin magnetization belongs to which entry?
Answer: MnCoOs

---

Question: What is the spin magnetization in the first record?
Answer: 0.000 μB/atom